Density functional theory data (PBE) for a geometry-optimized CaPm3Pd2 structure.

Cell and atoms, written as CIF:
```
data_CaPm3Pd2
_chemical_formula_sum 'Ca2 Pm6 Pd4'
_symmetry_space_group_name_H-M 'P 1'
_symmetry_Int_Tables_number 1
_cell_length_a 7.010
_cell_length_b 7.369
_cell_length_c 8.683
_cell_angle_alpha 115.11
_cell_angle_beta 113.81
_cell_angle_gamma 90.00
loop_
_symmetry_equiv_pos_as_xyz
'x,y,z'
loop_
_atom_site_label
_atom_site_fract_x
_atom_site_fract_y
_atom_site_fract_z
Pd1 0.565 0.360 0.719
Ca1 0.000 0.000 0.000
Pm1 0.766 0.016 0.533
Pd2 0.155 0.860 0.719
Pm2 0.500 0.750 0.000
Pd3 0.845 0.140 0.281
Pd4 0.435 0.640 0.281
Pm3 0.234 0.484 0.467
Pm4 0.234 0.984 0.467
Ca2 0.000 0.500 0.000
Pm5 0.766 0.516 0.533
Pm6 0.500 0.250 0.000
```

Calculated values
Distance to the lowest polymorph of the same formula in meV per atom: 80



Density functional theory data (PBE) for a geometry-optimized CaPm3Pd2 structure.

Cell and atoms, written as CIF:
```
data_CaPm3Pd2
_chemical_formula_sum 'Ca2 Pm6 Pd4'
_symmetry_space_group_name_H-M 'P 1'
_symmetry_Int_Tables_number 1
_cell_length_a 4.944
_cell_length_b 7.418
_cell_length_c 8.998
_cell_angle_alpha 90.00
_cell_angle_beta 90.00
_cell_angle_gamma 90.00
loop_
_symmetry_equiv_pos_as_xyz
'x,y,z'
loop_
_atom_site_label
_atom_site_fract_x
_atom_site_fract_y
_atom_site_fract_z
Pm1 0.000 0.355 0.328
Pm2 0.000 0.986 0.082
Pm3 0.000 0.855 0.672
Pd1 0.500 0.751 0.850
Pm4 0.500 0.646 0.166
Pd2 0.500 0.251 0.150
Ca1 0.500 0.015 0.422
Pm5 0.000 0.486 0.918
Pm6 0.500 0.146 0.834
Ca2 0.500 0.515 0.578
Pd3 0.000 0.248 0.658
Pd4 0.000 0.748 0.342
```

Calculated values
Distance to the lowest polymorph of the same formula in meV per atom: 0



Density functional theory data (PBE) for a geometry-optimized Ca3Pm4Pd4 structure.

Cell and atoms, written as CIF:
```
data_Ca3Pm4Pd4
_chemical_formula_sum 'Ca3 Pm4 Pd4'
_symmetry_space_group_name_H-M 'P 1'
_symmetry_Int_Tables_number 1
_cell_length_a 3.906
_cell_length_b 9.321
_cell_length_c 9.672
_cell_angle_alpha 118.81
_cell_angle_beta 101.65
_cell_angle_gamma 90.00
loop_
_symmetry_equiv_pos_as_xyz
'x,y,z'
loop_
_atom_site_label
_atom_site_fract_x
_atom_site_fract_y
_atom_site_fract_z
Pd1 0.500 0.211 0.000
Ca1 0.100 0.100 0.200
Pd2 0.246 0.746 0.492
Pm1 0.665 0.476 0.331
Ca2 0.900 0.900 0.800
Pd3 0.754 0.254 0.508
Pm2 0.335 0.524 0.669
Pd4 0.500 0.789 0.000
Pm3 0.665 0.854 0.331
Pm4 0.335 0.146 0.669
Ca3 0.000 0.500 0.000
```



Density functional theory data (PBE) for a geometry-optimized CaPmPd3 structure.

Cell and atoms, written as CIF:
```
data_CaPmPd3
_chemical_formula_sum 'Ca4 Pm4 Pd12'
_symmetry_space_group_name_H-M 'P 1'
_symmetry_Int_Tables_number 1
_cell_length_a 5.619
_cell_length_b 7.200
_cell_length_c 11.814
_cell_angle_alpha 116.63
_cell_angle_beta 90.00
_cell_angle_gamma 90.00
loop_
_symmetry_equiv_pos_as_xyz
'x,y,z'
loop_
_atom_site_label
_atom_site_fract_x
_atom_site_fract_y
_atom_site_fract_z
Pd1 0.249 0.851 0.117
Ca1 0.750 0.898 0.031
Pd2 0.500 0.750 0.750
Pd3 0.000 0.750 0.750
Pm1 0.250 0.502 0.877
Pm2 0.250 0.002 0.377
Pm3 0.750 0.998 0.623
Pd4 0.750 0.470 0.814
Ca2 0.250 0.102 0.969
Pd5 0.250 0.030 0.686
Pd6 0.251 0.351 0.617
Pd7 0.250 0.530 0.186
Pd8 0.751 0.149 0.883
Ca3 0.250 0.602 0.469
Ca4 0.750 0.398 0.531
Pd9 0.000 0.250 0.250
Pd10 0.500 0.250 0.250
Pd11 0.749 0.649 0.383
Pd12 0.750 0.970 0.314
Pm4 0.750 0.498 0.123
```



Density functional theory data (PBE) for a geometry-optimized CaPm2Pd9 structure.

Cell and atoms, written as CIF:
```
data_CaPm2Pd9
_chemical_formula_sum 'Ca1 Pm2 Pd9'
_symmetry_space_group_name_H-M 'P 1'
_symmetry_Int_Tables_number 1
_cell_length_a 4.177
_cell_length_b 4.177
_cell_length_c 12.442
_cell_angle_alpha 90.00
_cell_angle_beta 90.00
_cell_angle_gamma 90.00
loop_
_symmetry_equiv_pos_as_xyz
'x,y,z'
loop_
_atom_site_label
_atom_site_fract_x
_atom_site_fract_y
_atom_site_fract_z
Pm1 0.000 0.000 0.669
Pd1 0.500 0.000 0.834
Pd2 0.000 0.500 0.500
Pd3 0.000 0.500 0.166
Ca1 0.000 0.000 0.000
Pd4 0.000 0.500 0.834
Pm2 0.000 0.000 0.331
Pd5 0.500 0.000 0.166
Pd6 0.500 0.500 0.000
Pd7 0.500 0.500 0.333
Pd8 0.500 0.000 0.500
Pd9 0.500 0.500 0.667
```



Density functional theory data (PBE) for a geometry-optimized Ca2PmPd2 structure.

Cell and atoms, written as CIF:
```
data_Ca2PmPd2
_chemical_formula_sum 'Ca4 Pm2 Pd4'
_symmetry_space_group_name_H-M 'P 1'
_symmetry_Int_Tables_number 1
_cell_length_a 3.941
_cell_length_b 7.504
_cell_length_c 9.559
_cell_angle_alpha 90.00
_cell_angle_beta 90.00
_cell_angle_gamma 105.22
loop_
_symmetry_equiv_pos_as_xyz
'x,y,z'
loop_
_atom_site_label
_atom_site_fract_x
_atom_site_fract_y
_atom_site_fract_z
Pd1 0.232 0.464 0.156
Ca1 0.591 0.183 0.295
Pm1 0.687 0.374 0.939
Ca2 0.107 0.215 0.646
Pd2 0.768 0.536 0.656
Pd3 0.956 0.912 0.450
Ca3 0.409 0.817 0.795
Pd4 0.044 0.088 0.950
Ca4 0.893 0.785 0.146
Pm2 0.313 0.626 0.439
```



Density functional theory data (PBE) for a geometry-optimized Ca2Pm2Pd15 structure.

Cell and atoms, written as CIF:
```
data_Ca2Pm2Pd15
_chemical_formula_sum 'Ca2 Pm2 Pd15'
_symmetry_space_group_name_H-M 'P 1'
_symmetry_Int_Tables_number 1
_cell_length_a 7.154
_cell_length_b 7.154
_cell_length_c 7.154
_cell_angle_alpha 81.45
_cell_angle_beta 81.45
_cell_angle_gamma 81.45
loop_
_symmetry_equiv_pos_as_xyz
'x,y,z'
loop_
_atom_site_label
_atom_site_fract_x
_atom_site_fract_y
_atom_site_fract_z
Pd1 0.351 0.351 0.839
Pd2 0.160 0.649 0.649
Pd3 0.500 0.000 0.000
Ca1 0.367 0.367 0.367
Pd4 0.649 0.649 0.160
Pd5 0.305 0.000 0.695
Pd6 0.000 0.305 0.695
Pd7 0.695 0.000 0.305
Pm1 0.889 0.889 0.889
Pd8 0.305 0.695 0.000
Pd9 0.351 0.840 0.351
Pd10 0.000 0.695 0.305
Pd11 0.695 0.305 0.000
Pd12 0.000 0.500 0.000
Ca2 0.633 0.633 0.633
Pm2 0.111 0.111 0.111
Pd13 0.839 0.351 0.351
Pd14 0.649 0.160 0.649
Pd15 0.000 0.000 0.500
```



Density functional theory data (PBE) for a geometry-optimized CaPm2Pd2 structure.

Cell and atoms, written as CIF:
```
data_CaPm2Pd2
_chemical_formula_sum 'Ca2 Pm4 Pd4'
_symmetry_space_group_name_H-M 'P 1'
_symmetry_Int_Tables_number 1
_cell_length_a 4.042
_cell_length_b 7.993
_cell_length_c 7.993
_cell_angle_alpha 90.00
_cell_angle_beta 90.00
_cell_angle_gamma 90.00
loop_
_symmetry_equiv_pos_as_xyz
'x,y,z'
loop_
_atom_site_label
_atom_site_fract_x
_atom_site_fract_y
_atom_site_fract_z
Pm1 0.000 0.663 0.337
Pd1 0.500 0.369 0.369
Pd2 0.500 0.869 0.131
Ca1 0.500 0.000 0.500
Pm2 0.000 0.163 0.163
Ca2 0.500 0.500 0.000
Pd3 0.500 0.631 0.631
Pm3 0.000 0.337 0.663
Pd4 0.500 0.131 0.869
Pm4 0.000 0.837 0.837
```

Calculated values
Distance to the lowest polymorph of the same formula in meV per atom: 0



Density functional theory data (PBE) for a geometry-optimized Ca3Pm2Pd2 structure.

Cell and atoms, written as CIF:
```
data_Ca3Pm2Pd2
_chemical_formula_sum 'Ca3 Pm2 Pd2'
_symmetry_space_group_name_H-M 'P 1'
_symmetry_Int_Tables_number 1
_cell_length_a 3.993
_cell_length_b 6.748
_cell_length_c 8.992
_cell_angle_alpha 105.23
_cell_angle_beta 102.78
_cell_angle_gamma 107.27
loop_
_symmetry_equiv_pos_as_xyz
'x,y,z'
loop_
_atom_site_label
_atom_site_fract_x
_atom_site_fract_y
_atom_site_fract_z
Ca1 0.191 0.814 0.570
Ca2 0.500 0.000 0.000
Ca3 0.809 0.186 0.430
Pd1 0.022 0.842 0.201
Pm1 0.652 0.484 0.820
Pm2 0.348 0.516 0.180
Pd2 0.978 0.158 0.799
```



Density functional theory data (PBE) for a geometry-optimized CaPm2Pd4 structure.

Cell and atoms, written as CIF:
```
data_CaPm2Pd4
_chemical_formula_sum 'Ca1 Pm2 Pd4'
_symmetry_space_group_name_H-M 'P 1'
_symmetry_Int_Tables_number 1
_cell_length_a 5.430
_cell_length_b 5.430
_cell_length_c 6.736
_cell_angle_alpha 113.77
_cell_angle_beta 113.77
_cell_angle_gamma 90.00
loop_
_symmetry_equiv_pos_as_xyz
'x,y,z'
loop_
_atom_site_label
_atom_site_fract_x
_atom_site_fract_y
_atom_site_fract_z
Pd1 0.125 0.625 0.249
Pm1 0.313 0.313 0.626
Ca1 0.000 0.000 0.000
Pd2 0.875 0.375 0.751
Pd3 0.625 0.125 0.249
Pm2 0.687 0.687 0.374
Pd4 0.375 0.875 0.751
```



Density functional theory data (PBE) for a geometry-optimized CaPmPd3 structure.

Cell and atoms, written as CIF:
```
data_CaPmPd3
_chemical_formula_sum 'Ca4 Pm4 Pd12'
_symmetry_space_group_name_H-M 'P 1'
_symmetry_Int_Tables_number 1
_cell_length_a 6.840
_cell_length_b 7.803
_cell_length_c 8.124
_cell_angle_alpha 90.00
_cell_angle_beta 90.00
_cell_angle_gamma 90.00
loop_
_symmetry_equiv_pos_as_xyz
'x,y,z'
loop_
_atom_site_label
_atom_site_fract_x
_atom_site_fract_y
_atom_site_fract_z
Pd1 0.500 0.500 0.253
Pm1 0.720 0.861 0.000
Pd2 0.119 0.355 0.744
Pd3 0.000 0.000 0.247
Pd4 0.881 0.645 0.256
Ca1 0.789 0.367 0.000
Pd5 0.619 0.145 0.244
Pd6 0.881 0.645 0.744
Pm2 0.280 0.139 0.000
Pd7 0.000 0.000 0.753
Pm3 0.780 0.361 0.500
Pd8 0.119 0.355 0.256
Pd9 0.381 0.855 0.244
Pm4 0.220 0.639 0.500
Pd10 0.381 0.855 0.756
Pd11 0.500 0.500 0.747
Ca2 0.211 0.633 0.000
Ca3 0.289 0.133 0.500
Ca4 0.711 0.867 0.500
Pd12 0.619 0.145 0.756
```



Number 1: formation energy -0.4575 eV per atom. Number 2: formation energy -0.5370 eV per atom. Number 3: formation energy -0.5142 eV per atom. Number 4: formation energy -0.7067 eV per atom. Number 5: formation energy -0.6923 eV per atom. Number 6: formation energy -0.5743 eV per atom. Number 7: formation energy -0.4693 eV per atom. Number 8: formation energy -0.6581 eV per atom. Number 9: formation energy -0.4384 eV per atom. Number 10: formation energy -0.6402 eV per atom. Number 11: formation energy -0.7052 eV per atom.